CsMg6Ga | PBE-GGA | relaxed

Values from the calculation:
The calculation puts the formation energy at 121.1 meV per atom. The space group is Amm2 (38). As for the energy above the most stable polymorph in this dataset: 0.00 eV per formula unit.

a = 9.643 Å, b = 9.643 Å, c = 4.907 Å
α = 90.00°, β = 90.00°, γ = 142.36°
Element x y z (fractional)
1 Mg 0.208 0.296 0.000
2 Mg 0.704 0.792 0.000
3 Mg 0.823 0.693 0.500
4 Mg 0.611 0.389 0.000
5 Mg 0.117 0.883 0.000
6 Mg 0.307 0.177 0.500
7 Ga 0.438 0.562 0.500
8 Cs 0.793 0.207 0.500